The following is a DFT calculation (PBE) of SrRe2Au after structural relaxation.

a = 3.153 Å, b = 3.164 Å, c = 8.074 Å
α = 90.00°, β = 90.00°, γ = 90.00°
Element x y z (fractional)
Sr1 0.000 0.000 0.000
Re1 0.000 0.000 0.536
Re2 0.500 0.500 0.692
Au1 0.500 0.500 0.294

Magnetic moment (μB/atom): 0.000
Formation energy (eV per atom): 0.296
Symmetry: No. 25
Energy relative to the lowest polymorph listed for this composition (meV/atom): 0
Uncorrected energy (eV/atom): -7.17